1) The following is a GGA-PBE calculation of a geometry-optimized Rb2PH2 structure, from Alexandria.

Unit cell a=3.403 b=3.403 c=18.825 alpha=90.00 beta=90.00 gamma=90.00
Atoms (fractional coordinates):
Rb1 0.000 0.000 0.134
Rb2 0.000 0.000 0.866
Rb3 0.500 0.500 0.366
Rb4 0.500 0.500 0.634
P1 0.000 0.000 0.500
P2 0.500 0.500 0.000
H1 0.000 0.500 0.250
H2 0.000 0.500 0.750
H3 0.500 0.000 0.250
H4 0.500 0.000 0.750

Output
Total magnetization = 0.00 Bohr magnetons per cell

2) The following is a GGA-PBE calculation of a geometry-optimized Rb2PH2 structure, from Alexandria.

Unit cell a=5.914 b=5.914 c=7.895 alpha=90.00 beta=90.00 gamma=90.00
Atoms (fractional coordinates):
Rb1 0.000 0.500 0.250
Rb2 0.000 0.500 0.750
Rb3 0.500 0.000 0.250
Rb4 0.500 0.000 0.750
P1 0.000 0.000 0.000
P2 0.500 0.500 0.500
H1 0.000 0.000 0.199
H2 0.000 0.000 0.801
H3 0.500 0.500 0.301
H4 0.500 0.500 0.699

Output
Total magnetization = 2.08 Bohr magnetons per cell

2) is favored, and the nearest alternative lies 497 meV/atom above it.

1) The following is a GGA-PBE calculation of a geometry-optimized RbPH3 structure, from Alexandria.

Unit cell a=3.892 b=3.892 c=3.892 alpha=90.00 beta=90.00 gamma=90.00
Atoms (fractional coordinates):
Rb1 0.000 0.000 0.000
P1 0.500 0.500 0.500
H1 0.000 0.500 0.500
H2 0.500 0.000 0.500
H3 0.500 0.500 0.000

Output
Total magnetization = 0.00 Bohr magnetons per cell

2) The following is a GGA-PBE calculation of a geometry-optimized RbPH3 structure, from Alexandria.

Unit cell a=9.836 b=5.418 c=5.418 alpha=133.42 beta=90.00 gamma=90.00
Atoms (fractional coordinates):
Rb1 0.000 0.000 0.000
Rb2 0.500 0.000 0.000
P1 0.250 0.592 0.353
P2 0.750 0.353 0.592
H1 0.138 0.686 0.253
H2 0.250 0.965 0.705
H3 0.362 0.686 0.253
H4 0.638 0.253 0.686
H5 0.750 0.705 0.965
H6 0.862 0.253 0.686

Output
Total magnetization = 0.00 Bohr magnetons per cell

2) is favored, and the nearest alternative lies 118 meV/atom above it.